First-principles (PBE+U) data for a geometry-optimized Ga2NiO4 structure, as listed in Alexandria.

The structure in CIF format:
```
data_Ga2NiO4
_cell_length_a 5.959
_cell_length_b 5.959
_cell_length_c 5.959
_cell_angle_alpha 59.75
_cell_angle_beta 59.75
_cell_angle_gamma 59.75
_symmetry_space_group_name_H-M 'P 1'
_symmetry_Int_Tables_number 1
_symmetry_space_group_name_Hall 'P 1'
loop_
_atom_site_label
_atom_site_fract_x
_atom_site_fract_y
_atom_site_fract_z
O1 0.379 0.852 0.379
Ga1 0.118 0.627 0.627
O2 0.872 0.406 0.872
O3 0.852 0.379 0.379
O4 0.379 0.379 0.852
Ni1 0.627 0.627 0.627
O5 0.872 0.872 0.406
O6 0.865 0.865 0.865
O7 0.406 0.872 0.872
Ni2 0.001 0.001 0.001
O8 0.380 0.380 0.380
Ga2 0.627 0.627 0.118
Ga3 0.246 0.246 0.246
Ga4 0.627 0.118 0.627
```

## Properties
- Symmetry: R3m, No. 160
- Energy above the lowest structure with this stoichiometry: 51 meV per atom
- M_tot: 3.99 μB per cell